# Pr2MgTa, optimized geometry, DFT PBE
data_Pr2MgTa
_chemical_formula_sum 'Pr6 Mg3 Ta3'
_cell_length_a 3.2201
_cell_length_b 3.2201
_cell_length_c 36.3588
_cell_angle_alpha 90.00
_cell_angle_beta 90.00
_cell_angle_gamma 120.00
_symmetry_space_group_name_H-M 'R -3 m'
_symmetry_Int_Tables_number 166
_symmetry_space_group_name_Hall '-R 3 2"'
loop_
_atom_site_label
_atom_site_fract_x
_atom_site_fract_y
_atom_site_fract_z
Pr1 0.0000 0.0000 0.0826
Mg1 0.0000 0.0000 0.5000
Ta1 0.0000 0.0000 0.0000
# Total magnetic moment = 0.0 μB/f.u.
# E_tot = -61.42 eV for the cell shown
# DFT formation energy = 2.534 eV per formula unit